Run i
VASP calculation (GGA-PBE) on crystalline Ni2GeH at its relaxed geometry.

Computed properties:
Density, g/cm3: 7.4
Size of the total moment, μB/f.u.: 0.00
Fermi-level density of states, states/eV/f.u.: 1.1
Calculated volume, Å³ per atom: 10.8

abc: 4.853 4.853 7.317
angles: 90.00 90.00 90.00
Space group I-42d (No. 122)
Asymmetric unit:
Ni: 0.119 0.250 0.125 [8 per cell]
Ge: 0.000 0.000 0.500 [4 per cell]
H: 0.000 0.000 0.000 [4 per cell]

---

Run ii
VASP calculation (GGA-PBE) on crystalline Ni2GeH at its relaxed geometry.

Computed properties:
Density, g/cm3: 7.5
Size of the total moment, μB/f.u.: 0.00
Fermi-level density of states, states/eV/f.u.: 2.3
Calculated volume, Å³ per atom: 10.5

abc: 5.520 5.520 5.520
angles: 90.00 90.00 90.00
Space group Fm-3m (No. 225)
Asymmetric unit:
Ni: 0.250 0.250 0.250 [8 per cell]
Ge: 0.000 0.000 0.000 [4 per cell]
H: 0.000 0.000 0.500 [4 per cell]

---

Run iii
VASP calculation (GGA-PBE) on crystalline Ni2GeH at its relaxed geometry.

Computed properties:
Density, g/cm3: 8.0
Size of the total moment, μB/f.u.: 0.00
Fermi-level density of states, states/eV/f.u.: 1.4
Calculated volume, Å³ per atom: 9.9

abc: 7.391 2.817 7.641
angles: 90.00 90.00 90.00
Space group Pnma (No. 62)
Asymmetric unit:
Ni: 0.102 0.250 0.211 [4 per cell]
Ni: 0.135 0.250 0.578 [4 per cell]
Ge: 0.165 0.250 0.894 [4 per cell]
H: 0.004 0.750 0.600 [4 per cell]

---

Run iv
VASP calculation (GGA-PBE) on crystalline Ni2GeH at its relaxed geometry.

Computed properties:
Density, g/cm3: 7.8
Size of the total moment, μB/f.u.: 0.00
Fermi-level density of states, states/eV/f.u.: 1.6
Calculated volume, Å³ per atom: 10.2

abc: 3.568 3.568 6.412
angles: 90.00 90.00 90.00
Space group P4/nmm (No. 129, origin choice 2)
Asymmetric unit:
Ni: 0.250 0.250 0.197 [2 per cell]
Ni: 0.250 0.750 0.500 [2 per cell]
Ge: 0.250 0.250 0.823 [2 per cell]
H: 0.250 0.250 0.455 [2 per cell]

---

run iii takes first place; second place is 7.7 kJ/mol of atoms up.

---

Run i
VASP calculation (GGA-PBE) on crystalline Ni5GeH at its relaxed geometry.

Computed properties:
Density, g/cm3: 7.9
Size of the total moment, μB/f.u.: 0.00
Fermi-level density of states, states/eV/f.u.: 7.9
Calculated volume, Å³ per atom: 11.0

abc: 7.545 7.923 6.351
angles: 90.00 125.44 90.00
Space group C2/c (No. 15)
Asymmetric unit:
Ni: 0.000 0.113 0.250 [4 per cell]
Ni: 0.112 0.380 0.479 [8 per cell]
Ni: 0.208 0.127 0.743 [8 per cell]
Ge: 0.000 0.351 0.750 [4 per cell]
H: 0.000 0.000 0.000 [4 per cell]

---

Run ii
VASP calculation (GGA-PBE) on crystalline Ni5GeH at its relaxed geometry.

Computed properties:
Density, g/cm3: 8.3
Size of the total moment, μB/f.u.: 1.11
Fermi-level density of states, states/eV/f.u.: 9.2
Calculated volume, Å³ per atom: 10.4

abc: 3.517 3.517 5.906
angles: 90.00 90.00 90.00
Space group P4/mmm (No. 123)
Asymmetric unit:
Ni: 0.000 0.000 0.000 [1 per cell]
Ni: 0.000 0.500 0.302 [4 per cell]
Ge: 0.500 0.500 0.000 [1 per cell]
H: 0.000 0.000 0.500 [1 per cell]

---

run i takes first place; second place is 3.3 kJ/mol of atoms up.

---

Run i
VASP calculation (GGA-PBE) on crystalline Ni4GeH at its relaxed geometry.

Computed properties:
Density, g/cm3: 8.6
Size of the total moment, μB/f.u.: 0.00
Fermi-level density of states, states/eV/f.u.: 4.3
Calculated volume, Å³ per atom: 10.0

abc: 6.572 8.528 4.458
angles: 90.00 106.55 90.00
Space group C2/c (No. 15)
Asymmetric unit:
Ni: 0.101 0.137 0.049 [8 per cell]
Ni: 0.196 0.383 0.367 [8 per cell]
Ge: 0.000 0.368 0.750 [4 per cell]
H: 0.000 0.005 0.750 [4 per cell]

---

Run ii
VASP calculation (GGA-PBE) on crystalline Ni4GeH at its relaxed geometry.

Computed properties:
Density, g/cm3: 8.6
Size of the total moment, μB/f.u.: 0.00
Fermi-level density of states, states/eV/f.u.: 4.9
Calculated volume, Å³ per atom: 9.9

abc: 10.985 4.413 5.124
angles: 90.00 106.78 90.00
Space group C2/c (No. 15)
Asymmetric unit:
Ni: 0.099 0.094 0.448 [8 per cell]
Ni: 0.196 0.411 0.150 [8 per cell]
Ge: 0.000 0.382 0.750 [4 per cell]
H: 0.250 0.250 0.500 [4 per cell]

---

run ii takes first place; second place is 0.9 kJ/mol of atoms up.

---

Run i
VASP calculation (GGA-PBE) on crystalline TcNiGe2H at its relaxed geometry.

Computed properties:
Density, g/cm3: 6.5
Size of the total moment, μB/f.u.: 0.00
Fermi-level density of states, states/eV/f.u.: 2.0
Calculated volume, Å³ per atom: 15.4

abc: 4.756 4.756 3.414
angles: 90.00 90.00 90.00
Space group P4/mmm (No. 123)
Asymmetric unit:
Tc: 0.000 0.000 0.000 [1 per cell]
Ni: 0.500 0.500 0.500 [1 per cell]
Ge: 0.000 0.500 0.000 [2 per cell]
H: 0.000 0.000 0.500 [1 per cell]

---

Run ii
VASP calculation (GGA-PBE) on crystalline TcNiGe2H at its relaxed geometry.

Computed properties:
Density, g/cm3: 8.3
Size of the total moment, μB/f.u.: 0.00
Fermi-level density of states, states/eV/f.u.: 3.3
Calculated volume, Å³ per atom: 12.1

abc: 4.234 4.234 3.377
angles: 90.00 90.00 90.00
Space group P4/mmm (No. 123)
Asymmetric unit:
Tc: 0.000 0.000 0.000 [1 per cell]
Ni: 0.500 0.500 0.000 [1 per cell]
Ge: 0.000 0.500 0.500 [2 per cell]
H: 0.000 0.000 0.500 [1 per cell]

---

run ii takes first place; second place is 32.4 kJ/mol of atoms up.

---

Run i
VASP calculation (GGA-PBE) on crystalline NpGeH at its relaxed geometry.

Computed properties:
Density, g/cm3: 10.6
Size of the total moment, μB/f.u.: 4.19
Fermi-level density of states, states/eV/f.u.: 4.7
Calculated volume, Å³ per atom: 16.3

abc: 3.652 3.652 14.661
angles: 90.00 90.00 90.00
Space group I4/mmm (No. 139)
Asymmetric unit:
Np: 0.000 0.000 0.162 [4 per cell]
Ge: 0.000 0.500 0.000 [4 per cell]
H: 0.000 0.000 0.318 [4 per cell]

---

Run ii
VASP calculation (GGA-PBE) on crystalline NpGeH at its relaxed geometry.

Computed properties:
Density, g/cm3: 10.2
Size of the total moment, μB/f.u.: 3.80
Fermi-level density of states, states/eV/f.u.: 5.7
Calculated volume, Å³ per atom: 16.9

abc: 3.6499 3.6499 4.3894
angles: 90.00 90.00 120.00
Space group P-6m2 (No. 187)
Asymmetric unit:
Np: 0.0000 0.0000 0.0000 [1 per cell]
Ge: 0.3333 0.6667 0.5000 [1 per cell]
H: 0.6667 0.3333 0.0000 [1 per cell]

---

run ii takes first place; second place is 5.0 kJ/mol of atoms up.

---

Run i
VASP calculation (GGA-PBE) on crystalline GeH2O at its relaxed geometry.

Computed properties:
Density, g/cm3: 4.7
Size of the total moment, μB/f.u.: 0.00
Fermi-level density of states, states/eV/f.u.: 1.0
Calculated volume, Å³ per atom: 8.0

abc: 5.049 5.049 5.049
angles: 90.00 90.00 90.00
Space group Fm-3m (No. 225)
Asymmetric unit:
Ge: 0.000 0.000 0.000 [4 per cell]
H: 0.250 0.250 0.250 [8 per cell]
O: 0.000 0.000 0.500 [4 per cell]

---

Run ii
VASP calculation (GGA-PBE) on crystalline GeH2O at its relaxed geometry.

Computed properties:
Density, g/cm3: 4.5
Size of the total moment, μB/f.u.: 0.00
Fermi-level density of states, states/eV/f.u.: 0.4
Calculated volume, Å³ per atom: 8.3

abc: 3.032 3.032 14.424
angles: 90.00 90.00 90.00
Space group I4_1/amd (No. 141, origin choice 2)
Asymmetric unit:
Ge: 0.000 0.250 0.375 [4 per cell]
H: 0.000 0.000 0.500 [8 per cell]
O: 0.000 0.250 0.875 [4 per cell]

---

run ii takes first place; second place is 57.3 kJ/mol of atoms up.

---

Run i
VASP calculation (GGA-PBE) on crystalline GeH3O at its relaxed geometry.

Computed properties:
Density, g/cm3: 4.1
Size of the total moment, μB/f.u.: 0.00
Fermi-level density of states, states/eV/f.u.: 2.6
Calculated volume, Å³ per atom: 7.4

abc: 3.332 3.332 3.332
angles: 90.00 90.00 90.00
Space group Pm-3m (No. 221)
Asymmetric unit:
Ge: 0.000 0.000 0.000 [1 per cell]
H: 0.000 0.500 0.500 [3 per cell]
O: 0.500 0.500 0.500 [1 per cell]

---

Run ii
VASP calculation (GGA-PBE) on crystalline GeH3O at its relaxed geometry.

Computed properties:
Density, g/cm3: 3.7
Size of the total moment, μB/f.u.: 1.32
Fermi-level density of states, states/eV/f.u.: 2.6
Calculated volume, Å³ per atom: 8.3

abc: 3.457 3.457 3.457
angles: 90.00 90.00 90.00
Space group Pm-3m (No. 221)
Asymmetric unit:
Ge: 0.000 0.000 0.000 [1 per cell]
H: 0.000 0.000 0.500 [3 per cell]
O: 0.500 0.500 0.500 [1 per cell]

---

run ii takes first place; second place is 18.1 kJ/mol of atoms up.

---

Run i
VASP calculation (GGA-PBE) on crystalline GePHO2 at its relaxed geometry.

Computed properties:
Density, g/cm3: 4.4
Size of the total moment, μB/f.u.: 0.00
Fermi-level density of states, states/eV/f.u.: 0.4
Calculated volume, Å³ per atom: 10.3

abc: 4.145 4.145 2.991
angles: 90.00 90.00 90.00
Space group P4/mmm (No. 123)
Asymmetric unit:
Ge: 0.000 0.000 0.000 [1 per cell]
P: 0.500 0.500 0.000 [1 per cell]
H: 0.500 0.500 0.500 [1 per cell]
O: 0.000 0.500 0.500 [2 per cell]

---

Run ii
VASP calculation (GGA-PBE) on crystalline GePHO2 at its relaxed geometry.

Computed properties:
Density, g/cm3: 3.4
Size of the total moment, μB/f.u.: 0.28
Fermi-level density of states, states/eV/f.u.: 3.0
Calculated volume, Å³ per atom: 13.5

abc: 3.535 3.535 5.391
angles: 90.00 90.00 90.00
Space group P4/mmm (No. 123)
Asymmetric unit:
Ge: 0.000 0.000 0.000 [1 per cell]
P: 0.000 0.000 0.500 [1 per cell]
H: 0.500 0.500 0.500 [1 per cell]
O: 0.000 0.500 0.000 [2 per cell]

---

run ii takes first place; second place is 17.2 kJ/mol of atoms up.